Version P
Computed, not measured: a relaxed structure of Li2Mn3O6 at the PBE+U level of DFT.

Cell lengths 5.197, 5.197, 10.291 Å; angles 90.00, 90.00, 59.94 degrees
Fractional coordinates of all 22 atoms:
1 Li 0.143 0.357 0.250
2 Li 0.357 0.143 0.750
3 Li 0.643 0.857 0.250
4 Li 0.857 0.643 0.750
5 Mn 0.000 0.000 0.000
6 Mn 0.164 0.164 0.500
7 Mn 0.336 0.336 0.000
8 Mn 0.500 0.500 0.500
9 Mn 0.664 0.664 0.000
10 Mn 0.836 0.836 0.500
11 O 0.024 0.340 0.893
12 O 0.160 0.476 0.607
13 O 0.173 0.827 0.409
14 O 0.327 0.673 0.909
15 O 0.340 0.024 0.107
16 O 0.476 0.160 0.393
17 O 0.524 0.840 0.607
18 O 0.660 0.976 0.893
19 O 0.673 0.327 0.091
20 O 0.827 0.173 0.591
21 O 0.840 0.524 0.393
22 O 0.976 0.660 0.107

The space group is Cmce.



Version Q
Computed, not measured: a relaxed structure of Li2Mn3O6 at the PBE+U level of DFT.

Cell lengths 5.097, 5.097, 5.277 Å; angles 101.33, 101.33, 116.12 degrees
Fractional coordinates of all 11 atoms:
1 Li 0.174 0.826 0.000
2 Li 0.826 0.174 0.000
3 Mn 0.000 0.000 0.500
4 Mn 0.334 0.666 0.500
5 Mn 0.666 0.334 0.500
6 O 0.039 0.376 0.725
7 O 0.246 0.246 0.303
8 O 0.376 0.039 0.725
9 O 0.624 0.961 0.275
10 O 0.754 0.754 0.697
11 O 0.961 0.624 0.275

The space group is C2/m.



Of them, version P has the lowest stability.



Version P
Computed, not measured: a relaxed structure of Li5Mn4O8 at the PBE+U level of DFT.

Cell lengths 5.828, 6.286, 10.380 Å; angles 79.83, 73.93, 62.40 degrees
Fractional coordinates of all 34 atoms:
1 Li 0.000 0.000 0.000
2 Li 0.096 0.042 0.795
3 Li 0.256 0.309 0.723
4 Li 0.288 0.665 0.757
5 Li 0.294 0.717 0.266
6 Li 0.500 0.500 0.500
7 Li 0.706 0.283 0.734
8 Li 0.712 0.335 0.243
9 Li 0.744 0.691 0.277
10 Li 0.904 0.958 0.205
11 Mn 0.000 0.000 0.500
12 Mn 0.000 0.500 0.000
13 Mn 0.000 0.500 0.500
14 Mn 0.250 0.247 0.253
15 Mn 0.500 0.000 0.000
16 Mn 0.500 0.000 0.500
17 Mn 0.500 0.500 0.000
18 Mn 0.750 0.753 0.747
19 O 0.108 0.626 0.624
20 O 0.115 0.137 0.139
21 O 0.117 0.644 0.111
22 O 0.143 0.140 0.616
23 O 0.353 0.388 0.372
24 O 0.363 0.376 0.886
25 O 0.385 0.886 0.377
26 O 0.405 0.818 0.876
27 O 0.595 0.182 0.124
28 O 0.615 0.114 0.623
29 O 0.637 0.624 0.114
30 O 0.647 0.612 0.628
31 O 0.857 0.860 0.384
32 O 0.883 0.356 0.889
33 O 0.885 0.863 0.861
34 O 0.892 0.374 0.376

The space group is P-1.



Version Q
Computed, not measured: a relaxed structure of Li5Mn4O8 at the PBE+U level of DFT.

Cell lengths 6.341, 6.341, 5.873 Å; angles 116.75, 116.75, 54.42 degrees
Fractional coordinates of all 17 atoms:
1 Li 0.000 0.000 0.000
2 Li 0.000 0.500 0.000
3 Li 0.083 0.083 0.686
4 Li 0.500 0.000 0.000
5 Li 0.917 0.917 0.314
6 Mn 0.000 0.500 0.500
7 Mn 0.500 0.000 0.500
8 Mn 0.500 0.500 0.000
9 Mn 0.500 0.500 0.500
10 O 0.247 0.247 0.264
11 O 0.257 0.738 0.733
12 O 0.261 0.261 0.748
13 O 0.262 0.743 0.267
14 O 0.738 0.257 0.733
15 O 0.739 0.739 0.252
16 O 0.743 0.262 0.267
17 O 0.753 0.753 0.736

The space group is C2/m.



Of them, version P has the lowest stability.



Version P
Computed, not measured: a relaxed structure of Li2Mn2O3 at the PBE+U level of DFT.

Cell lengths 5.671, 5.671, 5.187 Å; angles 113.70, 113.70, 31.67 degrees
Fractional coordinates of all 7 atoms:
1 Li 0.147 0.147 0.350
2 Li 0.853 0.853 0.650
3 Mn 0.364 0.364 0.224
4 Mn 0.636 0.636 0.776
5 O 0.000 0.000 0.500
6 O 0.289 0.289 0.784
7 O 0.711 0.711 0.216

The space group is C2/m.



Version Q
Computed, not measured: a relaxed structure of Li2Mn2O3 at the PBE+U level of DFT.

Cell lengths 6.066, 5.473, 5.369 Å; angles 90.00, 113.45, 90.00 degrees
Fractional coordinates of all 14 atoms:
1 Li 0.058 0.154 0.180
2 Li 0.058 0.346 0.680
3 Li 0.942 0.654 0.320
4 Li 0.942 0.846 0.820
5 Mn 0.348 0.593 0.225
6 Mn 0.348 0.907 0.725
7 Mn 0.652 0.093 0.275
8 Mn 0.652 0.407 0.775
9 O 0.000 0.000 0.500
10 O 0.000 0.500 0.000
11 O 0.304 0.536 0.610
12 O 0.304 0.964 0.110
13 O 0.696 0.036 0.890
14 O 0.696 0.464 0.390

The space group is P2_1/c.



Of them, version Q has the lowest stability.



Version P
Computed, not measured: a relaxed structure of LiMn2P2O8 at the PBE+U level of DFT.

Cell lengths 4.869, 6.141, 10.193 Å; angles 89.85, 89.34, 89.86 degrees
Fractional coordinates of all 26 atoms:
1 Li 0.000 0.000 0.000
2 Li 0.500 0.499 0.501
3 Mn 0.038 0.754 0.719
4 Mn 0.452 0.744 0.216
5 Mn 0.545 0.254 0.785
6 Mn 0.959 0.244 0.282
7 P 0.087 0.255 0.601
8 P 0.425 0.245 0.095
9 P 0.573 0.754 0.906
10 P 0.911 0.743 0.399
11 O 0.171 0.250 0.456
12 O 0.215 0.062 0.680
13 O 0.228 0.731 0.382
14 O 0.236 0.458 0.662
15 O 0.261 0.768 0.896
16 O 0.274 0.042 0.160
17 O 0.296 0.440 0.172
18 O 0.327 0.249 0.950
19 O 0.671 0.749 0.051
20 O 0.702 0.559 0.829
21 O 0.725 0.956 0.842
22 O 0.738 0.231 0.105
23 O 0.762 0.540 0.338
24 O 0.771 0.267 0.618
25 O 0.784 0.936 0.321
26 O 0.827 0.748 0.545

The space group is P1.



Version Q
Computed, not measured: a relaxed structure of LiMn2P2O8 at the PBE+U level of DFT.

Cell lengths 8.631, 5.288, 8.687 Å; angles 90.00, 109.26, 90.00 degrees
Fractional coordinates of all 26 atoms:
1 Li 0.000 0.163 0.000
2 Li 0.000 0.837 0.500
3 Mn 0.147 0.329 0.407
4 Mn 0.147 0.671 0.907
5 Mn 0.642 0.196 0.068
6 Mn 0.642 0.804 0.568
7 P 0.250 0.158 0.785
8 P 0.250 0.842 0.285
9 P 0.778 0.319 0.446
10 P 0.778 0.681 0.946
11 O 0.132 0.296 0.861
12 O 0.132 0.704 0.361
13 O 0.172 0.107 0.226
14 O 0.172 0.893 0.726
15 O 0.271 0.310 0.642
16 O 0.271 0.690 0.142
17 O 0.420 0.133 0.913
18 O 0.420 0.867 0.413
19 O 0.638 0.321 0.279
20 O 0.638 0.679 0.779
21 O 0.728 0.161 0.569
22 O 0.728 0.839 0.069
23 O 0.817 0.402 0.010
24 O 0.817 0.598 0.510
25 O 0.933 0.196 0.422
26 O 0.933 0.804 0.922

The space group is Pc.



Of them, version Q has the lowest stability.



Version P
Computed, not measured: a relaxed structure of LiMn2P2O8 at the PBE+U level of DFT.

Cell lengths 5.293, 8.831, 7.600 Å; angles 90.00, 90.29, 90.00 degrees
Fractional coordinates of all 26 atoms:
1 Li 0.127 0.000 0.168
2 Li 0.873 0.500 0.832
3 Mn 0.114 0.902 0.698
4 Mn 0.453 0.289 0.705
5 Mn 0.547 0.789 0.295
6 Mn 0.886 0.402 0.302
7 P 0.019 0.714 0.049
8 P 0.395 0.569 0.516
9 P 0.605 0.069 0.484
10 P 0.981 0.214 0.951
11 O 0.018 0.222 0.154
12 O 0.033 0.049 0.902
13 O 0.165 0.324 0.850
14 O 0.167 0.467 0.486
15 O 0.281 0.777 0.100
16 O 0.332 0.744 0.519
17 O 0.411 0.071 0.642
18 O 0.464 0.011 0.317
19 O 0.536 0.511 0.683
20 O 0.589 0.571 0.358
21 O 0.668 0.244 0.481
22 O 0.719 0.277 0.900
23 O 0.833 0.967 0.514
24 O 0.835 0.824 0.150
25 O 0.967 0.549 0.098
26 O 0.982 0.722 0.846

The space group is P2_1.



Version Q
Computed, not measured: a relaxed structure of LiMn2P2O8 at the PBE+U level of DFT.

Cell lengths 5.056, 7.385, 9.428 Å; angles 90.00, 95.60, 90.00 degrees
Fractional coordinates of all 26 atoms:
1 Li 0.000 0.224 0.000
2 Li 0.000 0.776 0.500
3 Mn 0.536 0.287 0.234
4 Mn 0.536 0.713 0.734
5 Mn 0.997 0.287 0.568
6 Mn 0.997 0.713 0.068
7 P 0.460 0.481 0.940
8 P 0.460 0.519 0.440
9 P 0.998 0.033 0.289
10 P 0.998 0.967 0.789
11 O 0.042 0.056 0.451
12 O 0.042 0.944 0.951
13 O 0.061 0.167 0.761
14 O 0.061 0.833 0.261
15 O 0.152 0.179 0.210
16 O 0.152 0.821 0.710
17 O 0.178 0.485 0.988
18 O 0.178 0.515 0.488
19 O 0.458 0.455 0.775
20 O 0.458 0.545 0.275
21 O 0.601 0.326 0.454
22 O 0.601 0.674 0.954
23 O 0.629 0.339 0.031
24 O 0.629 0.661 0.531
25 O 0.697 0.058 0.232
26 O 0.697 0.942 0.732

The space group is Pc.



Of them, version Q has the lowest stability.



Version P
Computed, not measured: a relaxed structure of LiMnP2O7 at the PBE+U level of DFT.

Cell lengths 4.810, 8.357, 7.114 Å; angles 90.00, 108.85, 90.00 degrees
Fractional coordinates of all 22 atoms:
1 Li 0.177 0.000 0.176
2 Li 0.823 0.500 0.824
3 Mn 0.207 0.640 0.225
4 Mn 0.793 0.140 0.775
5 P 0.217 0.930 0.594
6 P 0.401 0.319 0.015
7 P 0.599 0.819 0.985
8 P 0.783 0.430 0.406
9 O 0.057 0.469 0.349
10 O 0.140 0.849 0.394
11 O 0.191 0.174 0.979
12 O 0.245 0.480 0.989
13 O 0.384 0.813 0.105
14 O 0.405 0.081 0.602
15 O 0.406 0.798 0.753
16 O 0.594 0.298 0.247
17 O 0.595 0.581 0.398
18 O 0.616 0.313 0.895
19 O 0.755 0.980 0.011
20 O 0.809 0.674 0.021
21 O 0.860 0.349 0.606
22 O 0.943 0.969 0.651

The space group is P2_1.



Version Q
Computed, not measured: a relaxed structure of LiMnP2O7 at the PBE+U level of DFT.

Cell lengths 6.224, 6.294, 7.327 Å; angles 69.42, 74.37, 80.83 degrees
Fractional coordinates of all 22 atoms:
1 Li 0.167 0.086 0.342
2 Li 0.833 0.914 0.658
3 Mn 0.442 0.274 0.713
4 Mn 0.558 0.726 0.287
5 P 0.113 0.637 0.187
6 P 0.318 0.793 0.735
7 P 0.682 0.207 0.265
8 P 0.887 0.363 0.813
9 O 0.121 0.398 0.319
10 O 0.123 0.247 0.830
11 O 0.143 0.936 0.633
12 O 0.228 0.631 0.958
13 O 0.260 0.792 0.221
14 O 0.441 0.612 0.630
15 O 0.490 0.943 0.742
16 O 0.510 0.057 0.258
17 O 0.559 0.388 0.370
18 O 0.740 0.208 0.779
19 O 0.772 0.369 0.042
20 O 0.857 0.064 0.367
21 O 0.877 0.753 0.170
22 O 0.879 0.602 0.681

The space group is P-1.



Of them, version Q has the lowest stability.